[1]
Mn2SbPbN: optimized geometry, GGA-PBE.

Results
Density of states at the Fermi level   1.63 states/eV/atom
ΔE_f (raw)   0.79 eV/atom
Uncorrected energy   -30.53 eV for the cell shown

Cell lengths 4.001, 4.001, 5.316 Å; angles 90.00, 90.00, 90.00 degrees
Fractional coordinates of all 5 atoms:
Mn 0.000 0.500 0.000
Mn 0.500 0.000 0.000
Sb 0.000 0.000 0.500
Pb 0.500 0.500 0.500
N 0.500 0.500 0.000


[2]
CsHfSe4: optimized geometry, GGA-PBE.

Results
Density of states at the Fermi level   0.62 states/eV/atom
ΔE_f (raw)   -0.90 eV/atom
Uncorrected energy   -60.33 eV for the cell shown

Cell lengths 8.798, 8.798, 6.810 Å; angles 100.74, 100.74, 123.63 degrees
Fractional coordinates of all 12 atoms:
Cs 0.149 0.851 0.750
Cs 0.851 0.149 0.250
Hf 0.500 0.500 0.250
Hf 0.500 0.500 0.750
Se 0.172 0.318 0.876
Se 0.313 0.583 0.474
Se 0.318 0.172 0.376
Se 0.417 0.687 0.026
Se 0.583 0.313 0.974
Se 0.682 0.828 0.624
Se 0.687 0.417 0.526
Se 0.828 0.682 0.124


Which value of density of states at the Fermi level does entry 1 give? 1.63 states/eV/atom


Among the records above, which one has the highest ΔE_f (raw)? Mn2SbPbN


Among the records above, which one has the lowest uncorrected energy? CsHfSe4